Crystalline ScBeCd2 at its relaxed geometry, computed with PBE-GGA.

Cell lengths 10.249, 10.249, 10.249 Å; angles 156.93, 156.93, 32.85 degrees
Sites, in units of the cell vectors:
Sc  0.000  0.000  0.000
Sc  0.750  0.250  0.500
Be  0.250  0.750  0.500
Be  0.500  0.500  0.000
Cd  0.145  0.625  0.020
Cd  0.375  0.395  0.520
Cd  0.605  0.125  0.980
Cd  0.875  0.855  0.480

Summary:
The calculation puts the magnetization at 0.000 μB/cell. The polymorph energy (0 for the lowest one) comes out at 1.25 eV/f.u. As for the formation enthalpy at 0 K: 0.324 eV/atom. The value obtained for the total energy is -2.65 eV/atom.

=====

Crystalline TbNd3Y2 at its relaxed geometry, computed with PBE-GGA.

Cell lengths 9.729, 9.729, 6.333 Å; angles 102.50, 102.50, 44.08 degrees
Sites, in units of the cell vectors:
Tb  0.123  0.877  0.750
Tb  0.877  0.123  0.250
Nd  0.208  0.459  0.475
Nd  0.372  0.628  0.250
Nd  0.459  0.208  0.975
Nd  0.541  0.792  0.025
Nd  0.628  0.372  0.750
Nd  0.792  0.541  0.525
Y  0.043  0.290  0.029
Y  0.290  0.043  0.529
Y  0.710  0.957  0.471
Y  0.957  0.710  0.971

Summary:
The calculation puts the magnetization at 0.000 μB/cell. The polymorph energy (0 for the lowest one) comes out at 0.00 eV/f.u. As for the formation enthalpy at 0 K: 0.003 eV/atom. The value obtained for the total energy is -5.31 eV/atom.

=====

Crystalline FeRh2Cl at its relaxed geometry, computed with PBE-GGA.

Cell lengths 2.859, 2.859, 8.476 Å; angles 90.00, 90.00, 120.56 degrees
Sites, in units of the cell vectors:
Fe  0.000  0.000  0.000
Rh  0.000  0.000  0.510
Rh  0.500  0.500  0.247
Cl  0.500  0.500  0.776

Summary:
The calculation puts the magnetization at 3.646 μB/cell. The uncorrected formation energy comes out at 352 meV/atom. The value obtained for the total energy is -5.90 eV/atom.

=====

Crystalline Pr2HoIn3Te6 at its relaxed geometry, computed with PBE-GGA.

Cell lengths 7.799, 7.799, 8.516 Å; angles 98.79, 98.79, 119.98 degrees
Sites, in units of the cell vectors:
Pr  0.166  0.834  0.000
Pr  0.834  0.166  0.000
Ho  0.500  0.500  0.000
In  0.000  0.000  0.500
In  0.331  0.669  0.500
In  0.669  0.331  0.500
Te  0.102  0.425  0.776
Te  0.253  0.253  0.227
Te  0.425  0.102  0.776
Te  0.575  0.898  0.224
Te  0.747  0.747  0.773
Te  0.898  0.575  0.224

Summary:
The calculation puts the magnetization at 0.000 μB/cell. The uncorrected formation energy comes out at -981 meV/atom. The value obtained for the total energy is -4.41 eV/atom.

=====

Crystalline LiCr3Tc at its relaxed geometry, computed with PBE-GGA.

Cell lengths 3.938, 3.938, 3.938 Å; angles 90.00, 90.00, 90.00 degrees
Sites, in units of the cell vectors:
Li  0.000  0.000  0.000
Cr  0.000  0.000  0.500
Cr  0.000  0.500  0.000
Cr  0.500  0.000  0.000
Tc  0.500  0.500  0.500

Summary:
The calculation puts the magnetization at 0.000 μB/cell. The polymorph energy (0 for the lowest one) comes out at 0.86 eV/f.u. As for the formation enthalpy at 0 K: 1.327 eV/atom. The value obtained for the total energy is -6.90 eV/atom.

=====

Crystalline GeBi2Pt2 at its relaxed geometry, computed with PBE-GGA.

Cell lengths 6.781, 6.781, 4.807 Å; angles 90.00, 90.00, 90.00 degrees
Sites, in units of the cell vectors:
Ge  0.000  0.000  0.000
Ge  0.500  0.500  0.000
Bi  0.175  0.325  0.500
Bi  0.325  0.825  0.500
Bi  0.675  0.175  0.500
Bi  0.825  0.675  0.500
Pt  0.146  0.646  0.000
Pt  0.354  0.146  0.000
Pt  0.646  0.854  0.000
Pt  0.854  0.354  0.000

Summary:
The calculation puts the magnetization at 0.000 μB/cell. The polymorph energy (0 for the lowest one) comes out at 1.04 eV/f.u. As for the formation enthalpy at 0 K: -0.065 eV/atom. The value obtained for the total energy is -4.96 eV/atom.

=====

Crystalline MgHg2As2 at its relaxed geometry, computed with PBE-GGA.

Cell lengths 6.138, 6.138, 6.138 Å; angles 125.42, 125.42, 80.85 degrees
Sites, in units of the cell vectors:
Mg  0.000  0.000  0.000
Hg  0.250  0.750  0.500
Hg  0.750  0.250  0.500
As  0.273  0.273  0.000
As  0.727  0.727  0.000

Summary:
The calculation puts the magnetization at 0.000 μB/cell. The polymorph energy (0 for the lowest one) comes out at 0.26 eV/f.u. As for the formation enthalpy at 0 K: 0.122 eV/atom. The value obtained for the total energy is -2.18 eV/atom.

=====

Crystalline RbNa3C at its relaxed geometry, computed with PBE-GGA.

Cell lengths 6.896, 6.896, 6.896 Å; angles 90.00, 90.00, 90.00 degrees
Sites, in units of the cell vectors:
Rb  0.000  0.000  0.000
Na  0.000  0.000  0.500
Na  0.000  0.500  0.000
Na  0.500  0.000  0.000
C  0.500  0.500  0.500

Summary:
The calculation puts the magnetization at 2.048 μB/cell. The polymorph energy (0 for the lowest one) comes out at 4.99 eV/f.u. As for the formation enthalpy at 0 K: 1.768 eV/atom. The value obtained for the total energy is -1.06 eV/atom.